An optimized crystal structure of TmPaFeO6, computed with PBE+U.

## Properties
VASP energy (eV/f.u.): -72.0
Volume (Å³/cell): 115.2

Unit cell a=5.2587 b=5.2587 c=4.8094 alpha=90.00 beta=90.00 gamma=120.00
With the nearest neighbours (Å) after each atom.
Fractional positions:
Tm1 0.0000 0.0000 0.0000  6 O 2.20
Pa1 0.6667 0.3333 0.5000  6 O 2.20
Fe1 0.3333 0.6667 0.0000  6 O 1.94
O1 0.0234 0.3722 0.2319  1 Fe 1.94
O2 0.0234 0.6513 0.7681  1 Fe 1.94
O3 0.3487 0.3722 0.7681  1 Fe 1.94
O4 0.3487 0.9766 0.2319  1 Fe 1.94
O5 0.6278 0.6513 0.2319  1 Fe 1.94
O6 0.6278 0.9766 0.7681  1 Fe 1.94